[1]
Density functional theory data (PBE) for a geometry-optimized NdDyTh2Rh4 structure.

```
NdDyTh2Rh4
1.0
-3.608 -4.472 0.511
4.178 -3.913 -0.715
0.595 4.118 5.654
Rh Nd Th Dy
4 1 2 1
Cartesian
0.637 -3.419 2.487
-1.440 -1.936 0.202
0.418 0.768 3.002
1.688 -1.711 -0.291
0.532 -7.821 -0.190
2.477 -1.230 2.437
-1.416 -1.510 3.050
0.288 -4.233 -0.103
```

[2]
Density functional theory data (PBE) for a geometry-optimized NdDy2Ru2 structure.

```
NdDy2Ru2
1.0
4.404 0.000 0.000
0.000 5.266 -0.530
0.000 -2.484 11.332
Dy Nd Ru
4 2 4
Cartesian
1.101 2.130 9.515
1.101 0.144 5.735
3.303 0.652 1.286
3.303 2.638 5.067
1.101 3.478 2.300
3.303 -0.696 8.501
1.101 -0.350 10.963
1.101 2.960 6.789
3.303 3.132 -0.161
3.303 -0.179 4.012
```

[3]
Density functional theory data (PBE) for a geometry-optimized Nd3DyRu structure.

```
Nd3DyRu
1.0
-3.910 -2.197 -3.235
-0.689 -4.116 3.628
-3.849 2.968 2.636
Dy Nd Ru
1 3 1
Cartesian
-4.224 -1.672 1.515
-0.345 -2.058 1.814
-1.955 -1.098 -1.617
-1.924 1.484 1.318
0.000 0.000 0.000
```

Output
**Energy relative to the lowest polymorph listed for this composition**: 172 meV/atom

[4]
Density functional theory data (PBE) for a geometry-optimized Nd3DyRu8 structure.

```
Nd3DyRu8
1.0
0.724 -3.556 3.993
4.292 -3.270 -0.045
6.321 3.765 5.852
Ru Nd Dy
8 3 1
Cartesian
3.426 -2.285 2.865
6.873 -2.183 7.746
9.329 -1.223 8.156
9.050 -3.841 7.724
3.778 -4.012 4.804
8.683 -2.038 5.698
3.655 0.301 3.251
5.510 -3.873 2.843
5.687 -1.507 4.918
7.430 0.757 6.618
5.033 -6.805 3.964
6.770 -4.547 5.660
```

[5]
Density functional theory data (PBE) for a geometry-optimized Nd4DyRu structure.

```
Nd4DyRu
1.0
-2.079 1.577 -5.506
-1.845 -7.214 -1.369
-5.506 4.122 6.636
Nd Dy Ru
8 2 2
Cartesian
-0.383 -1.496 -0.284
-3.499 -3.157 0.420
-4.150 -4.315 -3.038
-3.230 -0.719 -2.355
-5.280 2.800 2.799
-5.931 1.642 -0.659
-1.462 -5.717 -1.085
-6.199 -0.796 2.117
-6.458 -2.034 -1.513
-2.971 0.518 1.274
-1.473 -3.193 -2.122
-7.957 1.678 1.883
```

[6]
Density functional theory data (PBE) for a geometry-optimized NdDy2Ru structure.

```
NdDy2Ru
1.0
-2.929 0.207 -5.704
5.423 -3.998 -2.929
-4.624 -7.805 2.091
Dy Nd Ru
8 4 4
Cartesian
-0.323 -1.155 -2.273
-4.999 -8.409 -3.742
-1.807 -10.442 -4.269
2.869 -3.187 -2.800
-2.022 -4.021 -1.504
-3.301 -5.542 -4.510
1.171 -6.054 -2.032
-0.109 -7.575 -5.037
-0.082 -3.982 -4.680
1.340 -9.661 -2.008
-3.470 -1.935 -4.534
-2.049 -7.614 -1.862
-4.468 -6.195 -1.914
-2.916 -8.112 -5.637
0.786 -3.484 -0.905
2.337 -5.401 -4.628
```

Output
**Energy relative to the lowest polymorph listed for this composition**: 0 meV/atom

[7]
Density functional theory data (PBE) for a geometry-optimized NdDy2Ru structure.

```
NdDy2Ru
1.0
-1.197 0.665 -3.163
-3.188 -0.799 1.038
-1.404 8.657 2.352
Dy Nd Ru
2 1 1
Cartesian
-0.253 1.559 0.424
-1.151 7.098 1.929
-2.894 4.262 0.114
-2.192 -0.067 -1.062
```

Output
**Energy relative to the lowest polymorph listed for this composition**: 52 meV/atom

[8]
Density functional theory data (PBE) for a geometry-optimized Nd2Dy3Ru2 structure.

```
Nd2Dy3Ru2
1.0
3.874 0.000 0.000
-1.937 6.067 -0.397
0.000 -3.310 8.227
Nd Ru Dy
2 2 3
Cartesian
1.937 3.420 1.361
0.000 -0.663 6.469
1.937 1.378 6.054
0.000 1.379 1.776
0.000 2.682 4.428
1.937 0.000 0.000
1.937 0.075 3.403
```

[9]
Density functional theory data (PBE) for a geometry-optimized NdDy2Ru structure.

```
NdDy2Ru
1.0
3.915 -0.162 0.000
-1.706 6.172 0.000
0.000 0.000 9.212
Nd Dy Ru
2 4 2
Cartesian
1.996 0.830 6.909
0.214 5.180 2.303
0.073 1.771 0.640
0.073 1.771 3.966
2.137 4.238 8.572
2.137 4.238 5.246
0.124 2.993 6.909
2.085 3.017 2.303
```

Output
**Energy relative to the lowest polymorph listed for this composition**: 15 meV/atom

[10]
Density functional theory data (PBE) for a geometry-optimized NdDy2Ru structure.

```
NdDy2Ru
1.0
3.530 0.000 0.000
1.765 3.057 0.000
1.765 1.019 10.807
Nd Dy Ru
1 2 1
Cartesian
0.000 0.000 0.000
5.295 3.057 3.525
1.765 1.019 7.282
3.530 2.038 5.404
```

Output
**Energy relative to the lowest polymorph listed for this composition**: 366 meV/atom

[11]
Density functional theory data (PBE) for a geometry-optimized Nd2DyRu structure.

```
Nd2DyRu
1.0
-0.958 1.781 -3.481
-0.098 -6.315 -0.878
-9.059 -0.192 2.396
Nd Ru Dy
4 2 2
Cartesian
-4.551 -0.720 -1.444
-8.854 -4.075 0.352
-5.565 -4.006 -0.518
-1.262 -0.651 -2.314
-2.565 -2.865 -0.760
-7.551 -1.862 -1.203
-3.227 -3.698 -3.333
-6.889 -1.028 1.370
```

Output
**Energy relative to the lowest polymorph listed for this composition**: 23 meV/atom

[12]
Density functional theory data (PBE) for a geometry-optimized NdDy3Ru3 structure.

```
NdDy3Ru3
1.0
0.013 3.386 -4.824
2.239 -5.246 -1.309
-5.527 -0.666 1.935
Ru Nd Dy
3 1 3
Cartesian
-2.742 1.336 -1.446
-1.639 -2.983 0.308
1.137 -0.953 -3.079
0.932 -2.184 -0.545
-2.287 -0.293 0.799
-1.909 -1.494 -2.460
0.012 1.389 -2.006
```

[13]
Density functional theory data (PBE) for a geometry-optimized Nd2DyRu2 structure.

```
Nd2DyRu2
1.0
4.556 0.000 0.000
2.278 5.755 0.161
2.278 1.098 9.304
Nd Ru Dy
4 4 2
Cartesian
6.834 5.189 8.620
4.556 2.724 6.529
4.556 4.129 2.936
2.278 1.664 0.845
6.834 4.362 5.645
2.278 2.490 3.820
2.278 4.848 1.036
6.834 2.004 8.429
4.556 6.100 6.038
4.556 0.753 3.427
```

[14]
Density functional theory data (PBE) for a geometry-optimized Nd3DyRu structure.

```
Nd3DyRu
1.0
7.452 0.762 0.279
-2.994 6.867 -0.279
-3.629 -2.997 5.835
Dy Nd Ru
2 6 2
Cartesian
0.601 5.079 1.215
0.501 0.020 4.620
-3.065 -0.444 4.076
1.947 1.745 1.759
-4.748 3.110 4.283
-1.582 1.260 1.273
-0.828 3.367 4.087
-3.283 4.801 1.469
3.877 0.617 0.156
-4.995 0.684 5.679
```

Output
**Energy relative to the lowest polymorph listed for this composition**: 0 meV/atom

[15]
Density functional theory data (PBE) for a geometry-optimized Nd2DyRu structure.

```
Nd2DyRu
1.0
3.516 0.000 0.000
0.000 3.516 0.000
0.000 0.000 9.219
Dy Nd Ru
1 2 1
Cartesian
1.758 1.758 4.610
0.000 0.000 1.723
0.000 0.000 7.496
1.758 1.758 0.000
```

Output
**Energy relative to the lowest polymorph listed for this composition**: 202 meV/atom

[16]
Density functional theory data (PBE) for a geometry-optimized Nd2Dy2Ru3 structure.

```
Nd2Dy2Ru3
1.0
-3.611 1.848 1.929
-1.834 -6.094 -2.822
1.570 -2.353 5.191
Ru Nd Dy
3 2 2
Cartesian
0.000 0.000 0.000
-3.571 -2.329 0.773
-0.304 -4.270 3.524
-0.540 -2.390 1.278
-3.335 -4.208 3.019
-2.651 -4.483 -0.669
-1.224 -2.116 4.966
```

[17]
Density functional theory data (PBE) for a geometry-optimized Nd2DyRu structure.

```
Nd2DyRu
1.0
-2.907 0.404 2.101
-3.220 -1.179 -1.128
-0.125 -9.785 4.809
Nd Ru Dy
2 1 1
Cartesian
-0.738 -6.742 3.377
-5.515 -3.817 2.406
-3.126 -5.280 2.891
0.000 0.000 0.000
```

Output
**Energy relative to the lowest polymorph listed for this composition**: 440 meV/atom

[18]
Density functional theory data (PBE) for a geometry-optimized Nd2DyRu structure.

```
Nd2DyRu
1.0
-0.719 -0.018 -6.356
-7.291 -0.695 0.826
-0.909 9.619 0.075
Nd Dy Ru
8 4 4
Cartesian
-3.465 5.201 -4.963
-7.331 8.404 -3.512
-1.587 0.502 -1.943
-3.800 8.748 -4.936
-1.922 4.049 -1.916
-5.118 0.157 -0.519
-6.996 4.856 -3.539
-5.453 3.705 -0.492
-7.759 6.547 -0.078
-4.654 2.015 -3.635
-1.159 2.359 -5.377
-4.264 6.891 -1.820
-1.912 7.124 -3.290
-7.006 1.782 -2.165
-3.061 2.137 0.073
-5.857 6.769 -5.528
```

Output
**Energy relative to the lowest polymorph listed for this composition**: 0 meV/atom

[19]
Density functional theory data (PBE) for a geometry-optimized NdDy3Ru8 structure.

```
NdDy3Ru8
1.0
5.117 0.000 1.545
2.325 4.558 1.545
-0.022 -0.014 9.321
Dy Nd Ru
3 1 8
Cartesian
3.708 2.271 6.213
7.442 4.558 3.090
2.773 1.698 9.308
6.502 3.982 6.205
4.382 4.265 8.560
5.097 3.122 10.857
5.791 1.965 8.560
4.423 4.286 3.841
6.964 4.265 9.340
3.254 1.993 3.064
5.828 1.993 3.841
1.385 0.848 4.660
```

[20]
Density functional theory data (PBE) for a geometry-optimized NdDy3Ru4 structure.

```
NdDy3Ru4
1.0
4.641 0.000 1.370
2.118 4.129 1.370
0.042 0.025 8.404
Nd Ru Dy
1 4 3
Cartesian
0.000 0.000 0.000
0.879 0.537 5.569
5.922 3.618 5.575
2.579 1.576 8.354
4.221 2.579 2.790
3.400 2.077 5.572
1.689 1.032 2.824
5.112 3.123 8.320
```

[21]
Density functional theory data (PBE) for a geometry-optimized Nd2DyU2Ru5 structure.

```
Nd2DyU2Ru5
1.0
3.549 0.000 0.000
0.000 10.853 0.000
0.000 0.000 10.853
Nd Ru U Dy
4 10 4 2
Cartesian
0.000 7.331 1.904
0.000 3.522 8.949
0.000 1.904 3.522
0.000 8.949 7.331
1.774 2.345 0.542
1.774 5.427 0.000
1.774 4.884 3.082
1.774 0.000 5.427
1.774 8.508 10.311
1.774 0.542 8.508
1.774 5.969 7.772
1.774 10.311 2.345
1.774 3.082 5.969
1.774 7.772 4.884
0.000 9.379 3.953
0.000 6.900 9.379
0.000 3.953 1.474
0.000 1.474 6.900
0.000 5.427 5.427
0.000 0.000 0.000
```

[22]
Density functional theory data (PBE) for a geometry-optimized NdDyZnRu structure.

```
NdDyZnRu
1.0
-3.423 3.250 -1.653
-2.117 -0.661 -4.482
-4.799 -1.370 -0.321
Nd Zn Ru Dy
1 1 1 1
Cartesian
0.000 0.000 0.000
-2.585 0.304 -1.614
-7.754 0.913 -4.842
-5.170 0.609 -3.228
```

[23]
Density functional theory data (PBE) for a geometry-optimized NdDyZnRu structure.

```
NdDyZnRu
1.0
4.031 0.000 0.000
0.000 4.309 0.000
-2.016 0.000 5.356
Zn Nd Ru Dy
1 1 1 1
Cartesian
0.000 0.000 4.640
2.016 2.155 3.795
2.016 2.155 0.813
0.000 0.000 1.464
```

Number 1: energy of formation -0.76 eV/atom. Number 2: energy of formation -0.16 eV/atom. Number 3: energy of formation 0.06 eV/atom. Number 4: energy of formation -0.17 eV/atom. Number 5: energy of formation -0.03 eV/atom. Number 6: energy of formation -0.28 eV/atom. Number 7: energy of formation -0.22 eV/atom. Number 8: energy of formation -0.29 eV/atom. Number 9: energy of formation -0.26 eV/atom. Number 10: energy of formation 0.09 eV/atom. Number 11: energy of formation -0.20 eV/atom. Number 12: energy of formation -0.30 eV/atom. Number 13: energy of formation -0.20 eV/atom. Number 14: energy of formation -0.12 eV/atom. Number 15: energy of formation -0.02 eV/atom. Number 16: energy of formation -0.12 eV/atom. Number 17: energy of formation 0.22 eV/atom. Number 18: energy of formation -0.22 eV/atom. Number 19: energy of formation -0.25 eV/atom. Number 20: energy of formation -0.25 eV/atom. Number 21: energy of formation -0.23 eV/atom. Number 22: energy of formation -0.28 eV/atom. Number 23: energy of formation -0.28 eV/atom.